1.
# Y3TmTh2Sb6 | Alexandria via LeMat-Bulk | PBE | relaxed
# Formation energy (no corrections), meV/atom: -1067
# Total DFT energy (no corrections), eV/atom: -6.3534
# Total magnetization, μB/f.u.: 0.000
# DOS(E_F), states/eV/f.u.: 4.5
data_Y3TmTh2Sb6
_symmetry_space_group_name_H-M 'C 1 2/m 1'
_symmetry_Int_Tables_number 12
_symmetry_space_group_name_Hall '-C 2y'
_cell_length_a 19.270
_cell_length_b 4.434
_cell_length_c 8.833
_cell_angle_alpha 90.00
_cell_angle_beta 103.21
_cell_angle_gamma 90.00
loop_
_atom_site_label
_atom_site_type_symbol
_atom_site_fract_x
_atom_site_fract_y
_atom_site_fract_z
_atom_site_occupancy
Y1 Y 0.000 0.000 0.000 1
Y2 Y 0.168 0.500 0.334 1
Tm1 Tm 0.000 0.000 0.500 1
Th1 Th 0.165 0.500 0.830 1
Sb1 Sb 0.003 0.500 0.254 1
Sb2 Sb 0.165 0.000 0.088 1
Sb3 Sb 0.165 0.000 0.576 1


2.
# ThUSb4 | Alexandria via LeMat-Bulk | PBE | relaxed
# Formation energy (no corrections), meV/atom: -521
# Total DFT energy (no corrections), eV/atom: -6.3869
# Total magnetization, μB/f.u.: 1.759
# DOS(E_F), states/eV/f.u.: 8.3
data_ThUSb4
_symmetry_space_group_name_H-M 'P 4 m m'
_symmetry_Int_Tables_number 99
_symmetry_space_group_name_Hall 'P 4 -2'
_cell_length_a 4.360
_cell_length_b 4.360
_cell_length_c 8.957
_cell_angle_alpha 90.00
_cell_angle_beta 90.00
_cell_angle_gamma 90.00
loop_
_atom_site_label
_atom_site_type_symbol
_atom_site_fract_x
_atom_site_fract_y
_atom_site_fract_z
_atom_site_occupancy
Th1 Th 0.000 0.000 0.000 1
U1 U 0.500 0.500 0.558 1
Sb1 Sb 0.000 0.000 0.630 1
Sb2 Sb 0.000 0.500 0.286 1
Sb3 Sb 0.500 0.500 0.907 1


3.
# Th2USb3 | Alexandria via LeMat-Bulk | PBE | relaxed
# Formation energy (no corrections), meV/atom: -655
# Total DFT energy (no corrections), eV/atom: -7.0704
# Total magnetization, μB/f.u.: 2.814
# DOS(E_F), states/eV/f.u.: 9.3
data_Th2USb3
_symmetry_space_group_name_H-M 'I 4/m m m'
_symmetry_Int_Tables_number 139
_symmetry_space_group_name_Hall '-I 4 2'
_cell_length_a 4.473
_cell_length_b 4.473
_cell_length_c 18.948
_cell_angle_alpha 90.00
_cell_angle_beta 90.00
_cell_angle_gamma 90.00
loop_
_atom_site_label
_atom_site_type_symbol
_atom_site_fract_x
_atom_site_fract_y
_atom_site_fract_z
_atom_site_occupancy
Th1 Th 0.000 0.000 0.167 1
U1 U 0.000 0.000 0.500 1
Sb1 Sb 0.000 0.000 0.000 1
Sb2 Sb 0.000 0.000 0.336 1


4.
# Th3USb4 | Alexandria via LeMat-Bulk | PBE | relaxed
# Formation energy (no corrections), meV/atom: -720
# Total DFT energy (no corrections), eV/atom: -6.9745
# Total magnetization, μB/f.u.: 3.040
# DOS(E_F), states/eV/f.u.: 11.0
data_Th3USb4
_symmetry_space_group_name_H-M 'I 4/m m m'
_symmetry_Int_Tables_number 139
_symmetry_space_group_name_Hall '-I 4 2'
_cell_length_a 6.336
_cell_length_b 6.336
_cell_length_c 12.678
_cell_angle_alpha 90.00
_cell_angle_beta 90.00
_cell_angle_gamma 90.00
loop_
_atom_site_label
_atom_site_type_symbol
_atom_site_fract_x
_atom_site_fract_y
_atom_site_fract_z
_atom_site_occupancy
Th1 Th 0.000 0.000 0.000 1
Th2 Th 0.000 0.500 0.250 1
U1 U 0.000 0.000 0.500 1
Sb1 Sb 0.000 0.000 0.253 1
Sb2 Sb 0.000 0.500 0.000 1


5.
# Th2USb | Alexandria via LeMat-Bulk | PBE | relaxed
# Formation energy (no corrections), meV/atom: -179
# Total DFT energy (no corrections), eV/atom: -7.7413
# Total magnetization, μB/f.u.: 3.121
# DOS(E_F), states/eV/f.u.: 7.9
data_Th2USb
_symmetry_space_group_name_H-M 'P 4/m m m'
_symmetry_Int_Tables_number 123
_symmetry_space_group_name_Hall '-P 4 2'
_cell_length_a 4.879
_cell_length_b 4.879
_cell_length_c 4.615
_cell_angle_alpha 90.00
_cell_angle_beta 90.00
_cell_angle_gamma 90.00
loop_
_atom_site_label
_atom_site_type_symbol
_atom_site_fract_x
_atom_site_fract_y
_atom_site_fract_z
_atom_site_occupancy
Th1 Th 0.000 0.500 0.000 1
U1 U 0.000 0.000 0.500 1
Sb1 Sb 0.500 0.500 0.500 1


6.
# ThVSb3 | Alexandria via LeMat-Bulk | PBE | relaxed
# Formation energy (no corrections), meV/atom: -475
# Total DFT energy (no corrections), eV/atom: -6.2562
# Total magnetization, μB/f.u.: 1.244
# DOS(E_F), states/eV/f.u.: 3.5
data_ThVSb3
_symmetry_space_group_name_H-M 'P b c m'
_symmetry_Int_Tables_number 57
_symmetry_space_group_name_Hall '-P 2c 2b'
_cell_length_a 12.994
_cell_length_b 6.318
_cell_length_c 6.146
_cell_angle_alpha 90.00
_cell_angle_beta 90.00
_cell_angle_gamma 90.00
loop_
_atom_site_label
_atom_site_type_symbol
_atom_site_fract_x
_atom_site_fract_y
_atom_site_fract_z
_atom_site_occupancy
Th1 Th 0.193 0.002 0.250 1
V1 V 0.403 0.250 0.000 1
Sb1 Sb 0.001 0.250 0.000 1
Sb2 Sb 0.275 0.504 0.250 1
Sb3 Sb 0.438 0.599 0.750 1


7.
# Th2VSb | Alexandria via LeMat-Bulk | PBE | relaxed
# Formation energy (no corrections), meV/atom: 439
# Total DFT energy (no corrections), eV/atom: -6.5815
# Total magnetization, μB/f.u.: 2.813
# DOS(E_F), states/eV/f.u.: 4.6
data_Th2VSb
_symmetry_space_group_name_H-M 'R -3 m'
_symmetry_Int_Tables_number 166
_symmetry_space_group_name_Hall '-R 3 2"'
_cell_length_a 3.3680
_cell_length_b 3.3680
_cell_length_c 33.2907
_cell_angle_alpha 90.00
_cell_angle_beta 90.00
_cell_angle_gamma 120.00
loop_
_atom_site_label
_atom_site_type_symbol
_atom_site_fract_x
_atom_site_fract_y
_atom_site_fract_z
_atom_site_occupancy
Th1 Th 0.0000 0.0000 0.0837 1
V1 V 0.0000 0.0000 0.0000 1
Sb1 Sb 0.0000 0.0000 0.5000 1


8.
# YTh2Sb3 | Alexandria via LeMat-Bulk | PBE | relaxed
# Formation energy (no corrections), meV/atom: -995
# Total DFT energy (no corrections), eV/atom: -6.6065
# Total magnetization, μB/f.u.: 0.000
# DOS(E_F), states/eV/f.u.: 3.0
data_YTh2Sb3
_symmetry_space_group_name_H-M 'P 1 21/c 1'
_symmetry_Int_Tables_number 14
_symmetry_space_group_name_Hall '-P 2ybc'
_cell_length_a 6.326
_cell_length_b 13.406
_cell_length_c 8.951
_cell_angle_alpha 90.00
_cell_angle_beta 90.00
_cell_angle_gamma 90.00
loop_
_atom_site_label
_atom_site_type_symbol
_atom_site_fract_x
_atom_site_fract_y
_atom_site_fract_z
_atom_site_occupancy
Y1 Y 0.250 0.085 0.124 1
Th1 Th 0.250 0.083 0.626 1
Th2 Th 0.251 0.747 0.125 1
Sb1 Sb 0.249 0.250 0.375 1
Sb2 Sb 0.250 0.581 0.381 1
Sb3 Sb 0.250 0.581 0.868 1